Record 1
Cs2SnCl3 | Alexandria | GGA-PBE | optimized geometry; E_tot = -3.321 eV/atom; D(E_F) = 0.128 states/eV per atom; magnetic moment = 0.0 μB/cell
1.0
-4.227 0.274 -1.157
0.733 -4.280 -3.691
-0.438 -4.024 8.978
Cl Cs Sn
3 2 1
Direct
0.000 0.500 0.000
0.159 0.159 0.317
0.841 0.841 0.683
0.649 0.649 0.298
0.351 0.351 0.702
0.000 0.000 0.000

Record 2
CePmPrGa | Alexandria | GGA-PBE | optimized geometry; E_tot = -4.667 eV/atom; D(E_F) = 2.184 states/eV per atom; formation energy = -44 meV/atom; magnetic moment = 0.1 μB/cell
1.0
-1.129 -5.079 1.487
4.017 -3.450 1.110
0.875 -1.584 5.099
Ga Pr Ce Pm
1 1 1 1
Direct
0.250 0.250 0.250
0.500 0.500 0.500
0.000 0.000 0.000
0.750 0.750 0.750

Record 3
LaAlPt2 | Alexandria | GGA-PBE | optimized geometry; E_tot = -5.716 eV/atom; D(E_F) = 0.716 states/eV per atom; formation energy = -528 meV/atom; magnetic moment = 0.0 μB/cell
1.0
-4.499 -1.159 -1.354
-0.782 -2.001 -4.336
-1.309 -4.647 -0.319
La Pt Al
1 2 1
Direct
0.750 0.750 0.750
0.000 0.000 0.000
0.250 0.250 0.250
0.500 0.500 0.500

Record 4
MgAl2V2 | Alexandria | GGA-PBE | optimized geometry; E_tot = -5.410 eV/atom; D(E_F) = 0.483 states/eV per atom; formation energy = 54 meV/atom; magnetic moment = 5.6 μB/cell
1.0
-0.345 -2.005 -6.861
-0.825 -6.812 2.032
-3.129 0.392 0.043
Al Mg V
4 2 4
Direct
0.126 0.374 0.000
0.374 0.874 0.000
0.626 0.126 0.000
0.874 0.626 0.000
0.500 0.500 0.000
0.000 0.000 0.000
0.829 0.329 0.500
0.329 0.171 0.500
0.171 0.671 0.500
0.671 0.829 0.500

Record 5
ZrZn2Fe | Alexandria | GGA-PBE | optimized geometry; E_tot = -4.890 eV/atom; D(E_F) = 0.826 states/eV per atom; formation energy = 0 meV/atom; magnetic moment = 2.2 μB/cell
1.0
-1.748 1.934 -3.159
1.454 -1.578 -1.770
-3.421 -4.556 -0.895
Zr Zn Fe
1 2 1
Direct
0.000 0.439 0.497
0.500 0.069 0.234
0.000 0.194 0.987
0.500 0.797 0.781

Record 6
UTlAuSe3 | Alexandria | GGA-PBE | optimized geometry; E_tot = -5.266 eV/atom; D(E_F) = 1.083 states/eV per atom; magnetic moment = 4.0 μB/cell
1.0
4.175 0.000 0.000
0.000 8.975 -0.309
0.000 -2.667 9.232
Se Au Tl U
6 2 2 2
Direct
0.250 0.117 0.871
0.250 0.544 0.849
0.750 0.883 0.129
0.750 0.456 0.151
0.250 0.746 0.467
0.750 0.254 0.533
0.750 0.902 0.411
0.250 0.098 0.589
0.750 0.801 0.756
0.250 0.199 0.244
0.750 0.321 0.838
0.250 0.679 0.162

Record 7
NaSrCaSi | Alexandria | GGA-PBE | optimized geometry; E_tot = -2.768 eV/atom; D(E_F) = 0.304 states/eV per atom; magnetic moment = 0.0 μB/cell
1.0
-2.699 3.759 -2.857
-5.130 1.245 1.307
-1.141 4.820 2.244
Na Sr Si Ca
1 1 1 1
Direct
0.750 0.750 0.750
0.000 0.000 0.000
0.250 0.250 0.250
0.500 0.500 0.500

Record 8
Tb2ThIn2Ag2 | Alexandria | GGA-PBE | optimized geometry; E_tot = -4.199 eV/atom; D(E_F) = 0.518 states/eV per atom; formation energy = -219 meV/atom; magnetic moment = 0.0 μB/cell
1.0
-0.571 3.408 3.447
-4.337 2.156 0.605
-3.916 -4.344 7.102
Ag In Tb Th
2 2 2 1
Direct
0.574 0.574 0.278
0.426 0.426 0.722
0.264 0.264 0.209
0.736 0.736 0.791
0.132 0.132 0.604
0.868 0.868 0.396
0.000 0.000 0.000

Record 9
LiCaDyOs | Alexandria | GGA-PBE | optimized geometry; E_tot = -4.898 eV/atom; D(E_F) = 0.438 states/eV per atom; formation energy = 39 meV/atom; magnetic moment = 0.0 μB/cell
1.0
4.932 0.000 0.000
2.466 4.272 0.000
2.466 1.424 4.027
Os Li Dy Ca
1 1 1 1
Direct
0.500 0.500 0.500
0.000 0.000 0.000
0.750 0.750 0.750
0.250 0.250 0.250

Record 10
AcPr4Pb4 | Alexandria | GGA-PBE | optimized geometry; E_tot = -4.567 eV/atom; D(E_F) = 0.930 states/eV per atom; formation energy = -338 meV/atom; magnetic moment = 0.9 μB/cell
1.0
6.468 0.000 0.000
0.000 10.411 0.000
0.000 0.000 10.411
Pr Pb Ac
8 8 2
Direct
0.999 0.604 0.807
0.001 0.807 0.396
0.501 0.104 0.307
0.499 0.307 0.896
0.001 0.193 0.604
0.499 0.693 0.104
0.999 0.396 0.193
0.501 0.896 0.693
0.999 0.306 0.892
0.999 0.694 0.108
0.501 0.194 0.608
0.001 0.892 0.694
0.001 0.108 0.306
0.499 0.608 0.806
0.499 0.392 0.194
0.501 0.806 0.392
0.000 0.000 0.000
0.500 0.500 0.500

Record 11
Pm5PuIr3 | Alexandria | GGA-PBE | optimized geometry; E_tot = -7.634 eV/atom; D(E_F) = 1.769 states/eV per atom; formation energy = -449 meV/atom; magnetic moment = 11.6 μB/cell
1.0
-0.551 7.646 -1.870
-5.991 2.878 4.252
3.952 5.357 7.682
Pm Ir Pu
10 6 2
Direct
0.699 0.301 0.000
0.553 0.553 0.640
0.627 0.024 0.659
0.024 0.627 0.659
0.976 0.373 0.341
0.234 0.234 0.961
0.373 0.976 0.341
0.301 0.699 0.000
0.447 0.447 0.360
0.766 0.766 0.039
0.321 0.321 0.658
0.679 0.679 0.342
0.000 0.000 0.000
0.336 0.336 0.166
0.664 0.664 0.834
0.000 0.000 0.500
0.088 0.088 0.706
0.912 0.912 0.294

Record 12
ScTl4Pb | Alexandria | GGA-PBE | optimized geometry; E_tot = -3.048 eV/atom; D(E_F) = 1.089 states/eV per atom; formation energy = 203 meV/atom; magnetic moment = 0.0 μB/cell
1.0
0.000 4.454 4.454
4.454 0.000 4.454
4.454 4.454 0.000
Sc Tl Pb
1 4 1
Direct
0.000 0.000 0.000
0.375 0.375 0.875
0.375 0.875 0.375
0.375 0.375 0.375
0.875 0.375 0.375
0.750 0.750 0.750

Record 13
Rb2ScFeMo | Alexandria | GGA-PBE | optimized geometry; E_tot = -3.807 eV/atom; D(E_F) = 1.791 states/eV per atom; formation energy = 1705 meV/atom; magnetic moment = 0.7 μB/cell
1.0
-4.621 -3.993 2.381
1.987 0.000 3.856
-3.549 5.199 1.829
Fe Rb Sc Mo
1 2 1 1
Direct
0.000 0.000 0.000
0.500 0.000 0.000
0.000 0.000 0.500
0.500 0.500 0.500
0.000 0.500 0.000

Record 14
ScRh2F8 | Alexandria | GGA-PBE | optimized geometry; E_tot = -5.304 eV/atom; D(E_F) = 0.485 states/eV per atom; magnetic moment = 5.4 μB/cell
1.0
-0.112 3.015 -3.015
2.747 -4.195 -4.297
-6.569 0.321 0.564
F Sc Rh
8 1 2
Direct
0.751 0.847 0.152
0.751 0.305 0.153
0.249 0.695 0.847
0.751 0.848 0.695
0.249 0.152 0.305
0.236 0.667 0.333
0.764 0.333 0.667
0.249 0.153 0.848
0.000 0.000 0.000
0.731 0.667 0.333
0.269 0.333 0.667

Record 15
Sr2CuHg2 | Alexandria | GGA-PBE | optimized geometry; E_tot = -1.736 eV/atom; D(E_F) = 0.871 states/eV per atom; formation energy = -124 meV/atom; magnetic moment = 0.0 μB/cell
1.0
6.385 0.000 0.000
0.000 6.385 0.000
3.193 3.193 4.015
Sr Hg Cu
2 2 1
Direct
0.250 0.750 0.500
0.750 0.250 0.500
0.326 0.326 0.348
0.674 0.674 0.652
0.000 0.000 0.000

Record 16
EuS2 | Alexandria | GGA-PBE | optimized geometry; E_tot = -6.606 eV/atom; D(E_F) = 0.510 states/eV per atom; magnetic moment = 13.9 μB/cell
1.0
-4.943 -1.573 2.285
-4.336 -1.455 -3.349
-1.664 -5.411 -0.293
S Eu
4 2
Direct
0.125 0.125 0.625
0.625 0.125 0.125
0.125 0.125 0.125
0.125 0.625 0.125
0.500 0.500 0.500
0.750 0.750 0.750

Record 17
La4Sm5Dy2 | Alexandria | GGA-PBE | optimized geometry; E_tot = -4.694 eV/atom; D(E_F) = 1.650 states/eV per atom; formation energy = 79 meV/atom; magnetic moment = 0.0 μB/cell
1.0
-0.436 0.194 3.555
-11.770 -0.652 -1.409
1.309 -8.989 -1.159
La Dy Sm
4 2 5
Direct
0.359 0.205 0.718
0.039 0.263 0.079
0.641 0.795 0.282
0.961 0.737 0.921
0.716 0.361 0.433
0.284 0.639 0.567
0.821 0.927 0.642
0.500 0.000 0.000
0.903 0.461 0.807
0.179 0.073 0.358
0.097 0.539 0.193

Record 18
K6PbCl8 | Alexandria | GGA-PBE | optimized geometry; E_tot = -3.441 eV/atom; D(E_F) = 0.000 states/eV per atom; magnetic moment = 0.0 μB/cell
1.0
-4.994 1.132 -6.551
2.637 -4.294 -6.614
-4.758 -6.676 -1.388
K Cl Pb
6 8 1
Direct
0.309 0.940 0.514
0.060 0.486 0.691
0.514 0.309 0.940
0.691 0.060 0.486
0.940 0.514 0.309
0.486 0.691 0.060
0.338 0.338 0.338
0.662 0.662 0.662
0.168 0.669 0.899
0.832 0.331 0.101
0.331 0.101 0.832
0.101 0.832 0.331
0.899 0.168 0.669
0.669 0.899 0.168
0.000 0.000 0.000